Entry from the Alexandria database: crystalline AgSnGe2Se6 at its relaxed geometry (PBE).

The space group is C2/c (No. 15) and the conventional cell measures 13.280, 12.435 and 6.895 Å, with angles of 90.00, 106.14 and 90.00 degrees. Symmetry generates all atoms from Ag at (0.000, 0.222, 0.250), Sn at (0.000, 0.379, 0.750), Ge at (0.200, 0.077, 0.758), Se at (0.112, 0.424, 0.165), Se at (0.129, 0.076, 0.046) and Se at (0.139, 0.246, 0.598).

The value obtained for the uncorrected formation energy is -0.200 eV/atom. Its crystal system is monoclinic.